# 1
DFT (GGA-PBE) results for a geometry-optimized La2Pm5PrSc structure.

Computed properties:
* D(E_F): 29.50 states/eV/cell
* E_form: 1.071 eV per formula unit
* magnetization: 0.00 μB per atom

Lattice parameters (Å, degrees): 11.3744 11.3744 10.2563 90.00 90.00 151.99
Fractional positions:
1 La 0.1179 0.8821 0.5095
2 La 0.1179 0.8821 0.9905
3 La 0.8821 0.1179 0.0095
4 La 0.8821 0.1179 0.4905
5 Pm 0.0006 0.9994 0.7500
6 Pm 0.2765 0.7235 0.5621
7 Pm 0.2765 0.7235 0.9379
8 Pm 0.3739 0.6261 0.2500
9 Pm 0.5000 0.5000 0.0000
10 Pm 0.5000 0.5000 0.5000
11 Pm 0.6261 0.3739 0.7500
12 Pm 0.7235 0.2765 0.0621
13 Pm 0.7235 0.2765 0.4379
14 Pm 0.9994 0.0006 0.2500
15 Pr 0.3977 0.6023 0.7500
16 Pr 0.6023 0.3977 0.2500
17 Sc 0.2157 0.7843 0.2500
18 Sc 0.7843 0.2157 0.7500

# 2
DFT (GGA-PBE) results for a geometry-optimized Rb2Tl3CdSn4 structure.

Computed properties:
* D(E_F): 4.79 states/eV/cell
* E_form: -0.774 eV per formula unit
* magnetization: 0.00 μB per atom

Lattice parameters (Å, degrees): 5.2145 5.2145 12.5605 90.00 90.00 90.00
Fractional positions:
1 Rb 0.0000 0.5000 0.2459
2 Rb 0.5000 0.0000 0.7541
3 Tl 0.0000 0.0000 0.0000
4 Tl 0.0000 0.5000 0.6376
5 Tl 0.5000 0.0000 0.3624
6 Cd 0.5000 0.5000 0.0000
7 Sn 0.0000 0.0000 0.5000
8 Sn 0.0000 0.5000 0.8746
9 Sn 0.5000 0.0000 0.1254
10 Sn 0.5000 0.5000 0.5000

# 3
DFT (GGA-PBE) results for a geometry-optimized La2Tb4Pr3 structure.

Computed properties:
* D(E_F): 14.43 states/eV/cell
* energy above the lowest structure with this stoichiometry: 0.000 kcal/mol of atoms
* E_form: 0.195 eV per formula unit
* magnetization: 0.00 μB per atom

Lattice parameters (Å, degrees): 6.3107 6.3484 8.1784 82.54 75.12 80.29
Fractional positions:
1 La 0.1685 0.3323 0.3334
2 La 0.8315 0.6677 0.6666
3 Tb 0.2774 0.5532 0.8884
4 Tb 0.3907 0.7737 0.4460
5 Tb 0.6093 0.2263 0.5540
6 Tb 0.7226 0.4468 0.1116
7 Pr 0.0581 0.1118 0.7774
8 Pr 0.5000 0.0000 0.0000
9 Pr 0.9419 0.8882 0.2226

# 4
DFT (GGA-PBE) results for a geometry-optimized Na2CaTlO4 structure.

Computed properties:
* D(E_F): 4.27 states/eV/cell
* raw formation energy: -141.69 kJ per mole of atoms
* magnetization: 0.13 μB per atom

Lattice parameters (Å, degrees): 5.8479 3.4357 5.9117 90.00 108.86 90.00
Fractional positions:
1 Na 0.0000 0.0000 0.0000
2 Na 0.5000 0.5000 0.0000
3 Ca 0.0000 0.5000 0.5000
4 Tl 0.5000 0.0000 0.5000
5 O 0.2553 0.0000 0.7189
6 O 0.2605 0.5000 0.2671
7 O 0.7395 0.5000 0.7329
8 O 0.7447 0.0000 0.2811

Theoretical density? In order: 6.34 6.67 7.14 5.24 g/cm³.